Entry 1:
The following is a PBE calculation of crystalline Sr3OsCl2O6 at its relaxed geometry, from the Alexandria database.

## Properties
DFT total energy ... -71.86 eV per cell
ρ ... 4.31 g/cm³

Cell: 5.7619 6.8256 6.9912 Å, 119.22 84.67 90.00°
Closest atoms and distances in Å follow each position.
Fractional positions:
Sr1 0.0000 0.5000 0.0000  4 O 2.74, 2 Cl 2.77
Sr2 0.5000 0.5000 0.5000  4 O 2.42-2.59
Sr3 0.5000 0.0000 0.5000  4 O 2.42-2.59
Os1 0.5000 0.0000 0.0000  6 O 1.88-1.90
Cl1 0.1255 0.7129 0.4258  3 Sr 2.77-2.82, 1 O 3.03
Cl2 0.8745 0.2871 0.5742  3 Sr 2.77-2.82, 1 O 3.03
O1 0.6907 0.2506 0.0998  1 Os 1.90
O2 0.3093 0.7494 0.9002  1 Os 1.90
O3 0.6665 0.8590 0.7180  1 Os 1.88
O4 0.3335 0.1410 0.2820  1 Os 1.88
O5 0.3093 0.1507 0.9002  1 Os 1.90
O6 0.6907 0.8493 0.0998  1 Os 1.90

Entry 2:
The following is a PBE calculation of crystalline Tb3OsCl2O6 at its relaxed geometry, from the Alexandria database.

## Properties
DFT total energy ... -84.88 eV per cell
ρ ... 6.79 g/cm³

Cell: 5.5205 6.5546 6.5833 Å, 119.86 81.82 90.00°
Closest atoms and distances in Å follow each position.
Fractional positions:
Tb1 0.0000 0.5000 0.0000  4 O 2.40, 2 Cl 2.65
Tb2 0.5000 0.5000 0.5000  4 O 2.19-2.30
Tb3 0.5000 0.0000 0.5000  4 O 2.19-2.30
Os1 0.5000 0.0000 0.0000  6 O 1.98-2.08
Cl1 0.1432 0.7102 0.4204  3 Tb 2.65-2.66, 1 O 2.75
Cl2 0.8568 0.2898 0.5796  3 Tb 2.65-2.66, 1 O 2.75
O1 0.7023 0.2942 0.1144  1 Os 2.08, 1 Tb 2.30
O2 0.2977 0.7058 0.8856  1 Os 2.08, 1 Tb 2.30
O3 0.6724 0.8339 0.6678  1 Os 1.98, 2 Tb 2.19
O4 0.3276 0.1661 0.3322  1 Os 1.98, 2 Tb 2.19
O5 0.2977 0.1798 0.8856  1 Os 2.08, 1 Tb 2.30
O6 0.7023 0.8202 0.1144  1 Os 2.08, 1 Tb 2.30

Entry 3:
The following is a PBE calculation of crystalline TcOsClO2 at its relaxed geometry, from the Alexandria database.

## Properties
DFT total energy ... -34.30 eV per cell
ρ ... 7.62 g/cm³

Cell: 3.7226 5.5904 3.7226 Å, 90.00 90.00 90.00°
Closest atoms and distances in Å follow each position.
Fractional positions:
Os1 0.0000 0.0000 0.0000  4 O 1.86
Tc1 0.0000 0.5000 0.0000  4 Cl 2.63, 2 Os 2.80
O1 0.0000 0.0000 0.5000  2 Os 1.86
O2 0.5000 0.0000 0.0000  2 Os 1.86
Cl1 0.5000 0.5000 0.5000  4 Tc 2.63

What did the first record say?
The following is a PBE calculation of crystalline Sr3OsCl2O6 at its relaxed geometry, from the Alexandria database.

## Properties
DFT total energy ... -71.86 eV per cell
ρ ... 4.31 g/cm³

Cell: 5.7619 6.8256 6.9912 Å, 119.22 84.67 90.00°
Closest atoms and distances in Å follow each position.
Fractional positions:
Sr1 0.0000 0.5000 0.0000  4 O 2.74, 2 Cl 2.77
Sr2 0.5000 0.5000 0.5000  4 O 2.42-2.59
Sr3 0.5000 0.0000 0.5000  4 O 2.42-2.59
Os1 0.5000 0.0000 0.0000  6 O 1.88-1.90
Cl1 0.1255 0.7129 0.4258  3 Sr 2.77-2.82, 1 O 3.03
Cl2 0.8745 0.2871 0.5742  3 Sr 2.77-2.82, 1 O 3.03
O1 0.6907 0.2506 0.0998  1 Os 1.90
O2 0.3093 0.7494 0.9002  1 Os 1.90
O3 0.6665 0.8590 0.7180  1 Os 1.88
O4 0.3335 0.1410 0.2820  1 Os 1.88
O5 0.3093 0.1507 0.9002  1 Os 1.90
O6 0.6907 0.8493 0.0998  1 Os 1.90